Material: AcNdSmIn
Method: DFT, PBE
State: relaxed

Cell and atoms, written as CIF:
```
data_AcNdSmIn
_symmetry_space_group_name_H-M 'P 1'
_symmetry_Int_Tables_number 1
_symmetry_space_group_name_Hall 'P 1'
_cell_length_a 5.700
_cell_length_b 5.700
_cell_length_c 5.700
_cell_angle_alpha 60.00
_cell_angle_beta 60.00
_cell_angle_gamma 60.00
loop_
_atom_site_label
_atom_site_fract_x
_atom_site_fract_y
_atom_site_fract_z
Ac1 0.750 0.750 0.750
Nd1 0.500 0.500 0.500
Sm1 0.000 0.000 0.000
In1 0.250 0.250 0.250
```

Properties
The space-group type is F-43m (216). The value obtained for the formation energy is -0.08 eV/atom.